VASP calculation (PBE) on a geometry-optimized CdPAu2 structure.

```
data_CdPAu2
_chemical_formula_sum 'Cd2 P2 Au4'
_cell_length_a 7.919
_cell_length_b 3.212
_cell_length_c 6.313
_cell_angle_alpha 90.00
_cell_angle_beta 104.05
_cell_angle_gamma 90.00
_symmetry_space_group_name_H-M 'C 1 2/m 1'
_symmetry_Int_Tables_number 12
loop_
_symmetry_equiv_pos_as_xyz
'x,y,z'
'-x,-y,-z'
'-x,y,-z'
'x,-y,z'
'x+1/2,y+1/2,z'
'-x+1/2,-y+1/2,-z'
'-x+1/2,y+1/2,-z'
'x+1/2,-y+1/2,z'
loop_
_atom_site_label
_atom_site_fract_x
_atom_site_fract_y
_atom_site_fract_z
Cd1 0.000 0.000 0.000
P1 0.000 0.500 0.500
Au1 0.244 0.000 0.714
```


VASP calculation (PBE) on a geometry-optimized Cd2PAu2 structure.

```
data_Cd2PAu2
_chemical_formula_sum 'Cd4 P2 Au4'
_cell_length_a 8.284
_cell_length_b 8.284
_cell_length_c 2.982
_cell_angle_alpha 90.00
_cell_angle_beta 90.00
_cell_angle_gamma 90.00
_symmetry_space_group_name_H-M 'P 4/m b m'
_symmetry_Int_Tables_number 127
_symmetry_space_group_name_Hall '-P 4 2ab'
loop_
_atom_site_label
_atom_site_fract_x
_atom_site_fract_y
_atom_site_fract_z
Cd1 0.178 0.322 0.000
P1 0.000 0.000 0.000
Au1 0.121 0.621 0.500
```


VASP calculation (PBE) on a geometry-optimized CdPAu2 structure.

```
data_CdPAu2
_chemical_formula_sum 'Cd1 P1 Au2'
_cell_length_a 3.515
_cell_length_b 3.667
_cell_length_c 5.716
_cell_angle_alpha 90.00
_cell_angle_beta 90.00
_cell_angle_gamma 90.00
_symmetry_space_group_name_H-M 'P m m m'
_symmetry_Int_Tables_number 47
loop_
_symmetry_equiv_pos_as_xyz
'x,y,z'
'-x,-y,-z'
'-x,-y,z'
'x,y,-z'
'x,-y,-z'
'-x,y,z'
'-x,y,-z'
'x,-y,z'
loop_
_atom_site_label
_atom_site_fract_x
_atom_site_fract_y
_atom_site_fract_z
Cd1 0.000 0.000 0.000
P1 0.000 0.000 0.500
Au1 0.500 0.500 0.256
```


| no. | energy of formation from the pure elements (eV per atom) |
| --- | --- |
| 1 | 0.1438 |
| 2 | 0.2211 |
| 3 | 0.1841 |